VASP calculation (GGA+U) on an optimized crystal structure of HgTe2MoO.

Results
**Magnetic moment**: 0.43 μB/cell
**Total DFT energy (no corrections)**: -3.89 eV per atom

Cell: 5.5891 5.5891 3.8092 Å, 90.00 90.00 90.00°
Last column: nearest neighbours and their distance in Å.
Space group P4/mmm (No. 123)
Symmetry-distinct sites (fractional):
Hg  0.0000  0.0000  0.0000 (multiplicity 1)  8 Te 3.38
Te  0.0000  0.5000  0.5000 (multiplicity 2)  2 Mo 2.79
Mo  0.5000  0.5000  0.5000 (multiplicity 1)  2 O 1.90
O  0.5000  0.5000  0.0000 (multiplicity 1)  2 Mo 1.90